# 1
An optimized crystal structure of Pu2PaH4, computed with PBE.

Cell and atoms, written as extended XYZ:
```
14
Lattice="-3.5810 3.5810 3.4639 3.5810 -3.5810 3.4639 3.5810 3.5810 -3.4639" Properties=species:S:1:pos:R:3 pbc="T T T"
Pu 5.3715 0.9027 -0.8660
Pu 0.9027 1.7905 0.8660
Pu -1.7905 2.6783 2.5979
Pu 2.6783 1.7905 4.3299
Pa 3.5810 0.0000 1.7319
Pa 0.0000 0.0000 3.4639
H 1.2234 -0.5782 1.4714
H 3.0028 1.2234 -0.2606
H 2.3576 4.1592 -1.9925
H 2.3576 -0.5782 3.7245
H 3.0028 2.3576 1.9925
H 1.2234 4.1592 0.2606
H 0.5782 2.3576 3.2033
H 0.5782 1.2234 5.4564
```

Output
Electronic total energy: -7.55 eV/atom



# 2
An optimized crystal structure of PuPa3H8, computed with PBE.

Cell and atoms, written as extended XYZ:
```
12
Lattice="5.2662 0.0000 0.0000 0.0000 5.2662 0.0000 0.0000 0.0000 5.2662" Properties=species:S:1:pos:R:3 pbc="T T T"
Pu 0.0000 0.0000 0.0000
Pa 0.0000 2.6331 2.6331
Pa 2.6331 0.0000 2.6331
Pa 2.6331 2.6331 0.0000
H 1.3319 1.3319 1.3319
H 1.3319 1.3319 3.9344
H 1.3319 3.9344 1.3319
H 1.3319 3.9344 3.9344
H 3.9344 1.3319 1.3319
H 3.9344 1.3319 3.9344
H 3.9344 3.9344 1.3319
H 3.9344 3.9344 3.9344
```

Output
Electronic total energy: -6.08 eV/atom



# 3
An optimized crystal structure of Pu3PaH8, computed with PBE.

Cell and atoms, written as extended XYZ:
```
12
Lattice="5.2682 0.0000 0.0000 0.0000 5.2682 0.0000 0.0000 0.0000 5.2682" Properties=species:S:1:pos:R:3 pbc="T T T"
Pu 0.0000 0.0000 2.6341
Pu 0.0000 2.6341 0.0000
Pu 2.6341 0.0000 0.0000
Pa 2.6341 2.6341 2.6341
H 1.3339 1.3339 1.3339
H 1.3339 1.3339 3.9343
H 1.3339 3.9343 1.3339
H 1.3339 3.9343 3.9343
H 3.9343 1.3339 1.3339
H 3.9343 1.3339 3.9343
H 3.9343 3.9343 1.3339
H 3.9343 3.9343 3.9343
```

Output
Electronic total energy: -6.94 eV/atom



# 4
An optimized crystal structure of PuPa2H6, computed with PBE.

Cell and atoms, written as extended XYZ:
```
9
Lattice="6.2120 -2.2392 0.0000 6.2120 2.2392 0.0000 -1.2522 0.0000 3.7521" Properties=species:S:1:pos:R:3 pbc="T T T"
Pu 0.0000 0.0000 0.0000
Pa 3.7343 0.0000 1.2535
Pa 7.4376 0.0000 2.4986
H 3.0771 1.1048 3.1190
H 5.5860 1.1104 1.8761
H 8.0948 1.1048 0.6331
H 3.0771 -1.1048 3.1190
H 5.5860 -1.1104 1.8761
H 8.0948 -1.1048 0.6331
```

Output
Electronic total energy: -6.24 eV/atom



# 5
An optimized crystal structure of Pu2Pa3H8, computed with PBE.

Cell and atoms, written as extended XYZ:
```
13
Lattice="6.6011 0.0000 0.0000 0.0000 3.2870 0.0000 -2.7040 0.0000 7.8892" Properties=species:S:1:pos:R:3 pbc="T T T"
Pu -0.5568 0.0000 2.1018
Pu 4.4539 0.0000 5.7873
Pa 1.0698 1.6435 5.1231
Pa 3.3006 0.0000 0.0000
Pa 2.8273 1.6435 2.7660
H -0.3316 0.0000 4.3885
H 0.6112 1.6435 2.9628
H -0.6553 1.6435 6.7323
H 1.6827 0.0000 1.5707
H 2.2144 0.0000 6.3185
H 4.5524 1.6435 1.1569
H 3.2859 1.6435 4.9264
H 4.2287 0.0000 3.5007
```

Output
Electronic total energy: -6.63 eV/atom



# 6
An optimized crystal structure of PuPa3H6, computed with PBE.

Cell and atoms, written as extended XYZ:
```
20
Lattice="6.5748 0.0000 0.0000 0.0000 11.7627 0.0000 0.0000 0.0000 3.2326" Properties=species:S:1:pos:R:3 pbc="T T T"
Pu 0.0000 0.0000 0.0000
Pu 3.2874 5.8813 1.6163
Pa 0.0000 5.8813 0.0000
Pa 1.6387 2.9275 0.0000
Pa 1.6487 8.8089 1.6163
Pa 3.2874 0.0000 1.6163
Pa 4.9261 2.9538 1.6163
Pa 4.9361 8.8352 0.0000
H 0.3387 4.1592 1.6163
H 0.4105 9.6161 0.0000
H 1.3298 1.2343 1.6163
H 1.9576 7.1156 0.0000
H 2.8768 3.7347 1.6163
H 2.9487 10.0406 0.0000
H 3.6261 1.7221 0.0000
H 3.6979 8.0280 1.6163
H 4.6172 4.6471 0.0000
H 5.2450 10.5284 1.6163
H 6.1642 2.1466 0.0000
H 6.2361 7.6035 1.6163
```

Output
Electronic total energy: -6.50 eV/atom



Copy entry 2 word for word.
An optimized crystal structure of PuPa3H8, computed with PBE.

Cell and atoms, written as extended XYZ:
```
12
Lattice="5.2662 0.0000 0.0000 0.0000 5.2662 0.0000 0.0000 0.0000 5.2662" Properties=species:S:1:pos:R:3 pbc="T T T"
Pu 0.0000 0.0000 0.0000
Pa 0.0000 2.6331 2.6331
Pa 2.6331 0.0000 2.6331
Pa 2.6331 2.6331 0.0000
H 1.3319 1.3319 1.3319
H 1.3319 1.3319 3.9344
H 1.3319 3.9344 1.3319
H 1.3319 3.9344 3.9344
H 3.9344 1.3319 1.3319
H 3.9344 1.3319 3.9344
H 3.9344 3.9344 1.3319
H 3.9344 3.9344 3.9344
```

Output
Electronic total energy: -6.08 eV/atom



Please write out number 5 again, unchanged.
An optimized crystal structure of Pu2Pa3H8, computed with PBE.

Cell and atoms, written as extended XYZ:
```
13
Lattice="6.6011 0.0000 0.0000 0.0000 3.2870 0.0000 -2.7040 0.0000 7.8892" Properties=species:S:1:pos:R:3 pbc="T T T"
Pu -0.5568 0.0000 2.1018
Pu 4.4539 0.0000 5.7873
Pa 1.0698 1.6435 5.1231
Pa 3.3006 0.0000 0.0000
Pa 2.8273 1.6435 2.7660
H -0.3316 0.0000 4.3885
H 0.6112 1.6435 2.9628
H -0.6553 1.6435 6.7323
H 1.6827 0.0000 1.5707
H 2.2144 0.0000 6.3185
H 4.5524 1.6435 1.1569
H 3.2859 1.6435 4.9264
H 4.2287 0.0000 3.5007
```

Output
Electronic total energy: -6.63 eV/atom



Repeat the third record exactly.
An optimized crystal structure of Pu3PaH8, computed with PBE.

Cell and atoms, written as extended XYZ:
```
12
Lattice="5.2682 0.0000 0.0000 0.0000 5.2682 0.0000 0.0000 0.0000 5.2682" Properties=species:S:1:pos:R:3 pbc="T T T"
Pu 0.0000 0.0000 2.6341
Pu 0.0000 2.6341 0.0000
Pu 2.6341 0.0000 0.0000
Pa 2.6341 2.6341 2.6341
H 1.3339 1.3339 1.3339
H 1.3339 1.3339 3.9343
H 1.3339 3.9343 1.3339
H 1.3339 3.9343 3.9343
H 3.9343 1.3339 1.3339
H 3.9343 1.3339 3.9343
H 3.9343 3.9343 1.3339
H 3.9343 3.9343 3.9343
```

Output
Electronic total energy: -6.94 eV/atom



> Among the records above, which one has the lowest electronic total energy?

Pu2PaH4